(1)
A plane-wave DFT calculation with PBE was carried out for crystalline Cs2Sn2HgSb2 at its relaxed geometry.

Cell: 15.7432 4.6771 8.8474 Å, 90.00 115.42 90.00°
Last column: nearest neighbours and their distance in Å.
Space group C2/m (No. 12)
Asymmetric unit:
Cs  0.0939  0.0000  0.3797 (multiplicity 4)  2 Hg 3.83, 3 Sn 3.93-4.15, 4 Sb 4.04-4.13
Sn  0.2219  0.5000  0.1490 (multiplicity 4)  3 Sb 2.94-3.02, 1 Hg 3.16
Hg  0.0000  0.5000  0.0000 (multiplicity 2)  2 Sn 3.16
Sb  0.1448  0.5000  0.7816 (multiplicity 4)  3 Sn 2.94-3.02

Summary:
The total energy is -2.88 eV/atom.



(2)
A plane-wave DFT calculation with PBE was carried out for crystalline CaNdGdTl at its relaxed geometry.

Cell: 7.9237 7.9237 7.9237 Å, 90.00 90.00 90.00°
Last column: nearest neighbours and their distance in Å.
Space group F-43m (No. 216)
Asymmetric unit:
Ca  0.0000  0.0000  0.0000 (multiplicity 4)  4 Nd 3.43, 4 Gd 3.43
Nd  0.2500  0.2500  0.7500 (multiplicity 4)  4 Tl 3.43, 4 Ca 3.43
Gd  0.2500  0.2500  0.2500 (multiplicity 4)  4 Tl 3.43, 4 Ca 3.43
Tl  0.0000  0.0000  0.5000 (multiplicity 4)  4 Gd 3.43, 4 Nd 3.43

Summary:
For the energy of formation from the pure elements, the calculation gives -0.09 eV per atom. The total energy is -5.90 eV/atom.



(3)
A plane-wave DFT calculation with PBE was carried out for crystalline La4Pm5Pr at its relaxed geometry.

Cell: 17.6432 3.6321 11.5044 Å, 90.00 90.11 90.00°
Last column: nearest neighbours and their distance in Å.
Space group C2/m (No. 12)
Asymmetric unit:
La  0.0308  0.0000  0.2489 (multiplicity 4)  4 Pm 3.37-3.43, 2 Pr 3.46, 4 La 3.63-3.77
La  0.1563  0.5000  0.7500 (multiplicity 4)  4 La 3.63-3.77, 7 Pm 3.74-3.99, 1 Pr 3.98
Pm  0.0000  0.5000  0.0000 (multiplicity 2)  4 La 3.43, 6 Pm 3.61-3.63
Pm  0.1736  0.0000  0.0541 (multiplicity 4)  2 La 3.37-3.75, 6 Pm 3.48-3.63
Pm  0.1741  0.0000  0.4438 (multiplicity 4)  2 La 3.38-3.74, 4 Pm 3.48-3.63, 2 Pr 3.63
Pr  0.0000  0.5000  0.5000 (multiplicity 2)  4 La 3.46, 4 Pm 3.63, 2 Pr 3.63

Summary:
For the energy of formation from the pure elements, the calculation gives 0.17 eV per atom. The total energy is -4.65 eV/atom.



(4)
A plane-wave DFT calculation with PBE was carried out for crystalline Tb3DyTl at its relaxed geometry.

Cell: 5.3614 8.5622 6.8539 Å, 90.00 90.00 90.00°
Last column: nearest neighbours and their distance in Å.
Space group Pmmn (No. 59, origin choice 2)
Asymmetric unit:
Tb  0.2500  0.0577  0.2293 (multiplicity 4)  1 Tl 3.09, 1 Tb 3.29, 2 Dy 3.45
Tb  0.2500  0.2500  0.7097 (multiplicity 2)  2 Dy 3.27, 2 Tl 3.36
Dy  0.2500  0.7500  0.5624 (multiplicity 2)  1 Tl 2.96, 2 Tb 3.27
Tl  0.2500  0.7500  0.9944 (multiplicity 2)  1 Dy 2.96, 2 Tb 3.09

Summary:
For the energy of formation from the pure elements, the calculation gives -0.06 eV per atom. The total energy is -4.23 eV/atom.



(5)
A plane-wave DFT calculation with PBE was carried out for crystalline Mg3NbGe at its relaxed geometry.

Cell: 5.3299 5.3299 5.3299 Å, 90.00 90.00 90.00°
Last column: nearest neighbours and their distance in Å.
Space group Pm-3m (No. 221)
Asymmetric unit:
Mg  0.0000  0.0000  0.5000 (multiplicity 3)  2 Nb 2.66
Nb  0.0000  0.0000  0.0000 (multiplicity 1)  6 Mg 2.66
Ge  0.5000  0.5000  0.5000 (multiplicity 1)  12 Mg 3.77

Summary:
For the energy of formation from the pure elements, the calculation gives 1.25 eV per atom. The total energy is -2.64 eV/atom.



(6)
A plane-wave DFT calculation with PBE was carried out for crystalline BaBBr2 at its relaxed geometry.

Cell: 5.2532 5.2532 14.8390 Å, 90.00 90.00 120.00°
Last column: nearest neighbours and their distance in Å.
Space group R-3m (No. 166, hexagonal axes)
Asymmetric unit:
Ba  0.0000  0.0000  0.0000 (multiplicity 3)  8 Br 3.36-3.49
B  0.0000  0.0000  0.5000 (multiplicity 3)  6 Br 3.20
Br  0.0000  0.0000  0.2352 (multiplicity 6)  3 B 3.20, 4 Ba 3.36-3.49

Summary:
The total energy is -3.24 eV/atom.